Compound: Cs2CoH5
Source: the Alexandria database
Functional: PBE-GGA
Structure: relaxed

Calculated values
* V: 20.472 A^3/atom
* size of the total moment: 0.0095 μB/atom
* raw total energy: -3.272 eV/atom

a b c (Å): 6.0711 6.0694 6.0741
angles (deg): 117.51 117.52 94.32
Closest atoms and distances in Å follow each position.
Positions (direct):
H 0.8177 0.1697 0.9999  1 Co 1.57
H 0.1700 0.8181 0.9999  1 Co 1.57
H 0.8174 0.8170 0.0004  1 Co 1.45
H 0.8180 0.8181 0.6485  1 Co 1.57
H 0.1698 0.1699 0.3513  1 Co 1.57
Co 0.9926 0.9927 0.0000  5 H 1.45-1.57
Cs 0.2457 0.7458 0.5000  10 H 3.10-3.21
Cs 0.7457 0.2457 0.4999  10 H 3.10-3.20